(1)
Ca2BeCr | PBE-GGA | relaxed

```
4
Lattice="-1.783 2.558 5.215 1.783 -2.558 5.215 1.783 2.558 -5.215" Properties=species:S:1:pos:R:3 pbc="T T T"
Ca 0.000 0.000 0.000
Ca 0.000 2.558 2.143
Be 0.000 0.000 4.695
Cr 1.783 0.000 3.127
```

VASP energy   -15.402 eV for the cell shown
Crystal system   orthorhombic

(2)
SrRePt2 | PBE-GGA | relaxed

```
4
Lattice="-1.424 2.460 5.380 1.424 -2.460 5.380 1.424 2.460 -5.380" Properties=species:S:1:pos:R:3 pbc="T T T"
Sr 0.000 0.000 0.000
Re 0.000 2.460 2.336
Pt 1.424 0.000 2.911
Pt 0.000 0.000 5.447
```

VASP energy   -25.513 eV for the cell shown
Crystal system   orthorhombic

(3)
Ti4NbSn2 | PBE-GGA | relaxed

```
7
Lattice="-1.734 1.734 12.550 1.734 -1.734 12.550 1.734 1.734 -12.550" Properties=species:S:1:pos:R:3 pbc="T T T"
Ti 0.000 0.000 2.317
Ti 1.734 0.000 6.275
Ti 0.000 1.734 6.275
Ti 0.000 0.000 22.784
Nb 0.000 0.000 0.000
Sn 0.000 0.000 8.669
Sn 0.000 0.000 16.432
```

VASP energy   -45.900 eV for the cell shown
Crystal system   tetragonal